1.
# LuPaPO PBE-GGA relaxed
# * space-group type: P4/nmm, No. 129
# * final energy: -0.549 Ry/atom
data_LuPaPO
_chemical_formula_sum 'Lu2 Pa2 P2 O2'
_space_group_name_H-M_alt 'P 1'
_space_group_IT_number 1
_space_group_name_Hall 'P 1'
_cell_length_a 4.1221
_cell_length_b 4.1221
_cell_length_c 8.8776
_cell_angle_alpha 90.00
_cell_angle_beta 90.00
_cell_angle_gamma 90.00
loop_
_atom_site_label
_atom_site_type_symbol
_atom_site_fract_x
_atom_site_fract_y
_atom_site_fract_z
Lu1 Lu 0.2500 0.7500 0.0000
Lu2 Lu 0.7500 0.2500 0.0000
Pa1 Pa 0.2500 0.2500 0.3576
Pa2 Pa 0.7500 0.7500 0.6424
P1 P 0.2500 0.2500 0.7897
P2 P 0.7500 0.7500 0.2103
O1 O 0.2500 0.7500 0.5000
O2 O 0.7500 0.2500 0.5000



2.
# LuPaPO PBE-GGA relaxed
# * space-group type: Pmc2_1, No. 26
# * final energy: -0.554 Ry/atom
data_LuPaPO
_chemical_formula_sum 'Lu2 Pa2 P2 O2'
_space_group_name_H-M_alt 'P 1'
_space_group_IT_number 1
_space_group_name_Hall 'P 1'
_cell_length_a 5.1143
_cell_length_b 5.6888
_cell_length_c 5.6389
_cell_angle_alpha 90.00
_cell_angle_beta 90.00
_cell_angle_gamma 90.00
loop_
_atom_site_label
_atom_site_type_symbol
_atom_site_fract_x
_atom_site_fract_y
_atom_site_fract_z
Lu1 Lu 0.0000 0.1931 0.0000
Lu2 Lu 0.0000 0.8069 0.5000
Pa1 Pa 0.5000 0.2429 0.4306
Pa2 Pa 0.5000 0.7571 0.9306
P1 P 0.5000 0.2589 0.9307
P2 P 0.5000 0.7411 0.4307
O1 O 0.0000 0.1674 0.3851
O2 O 0.0000 0.8326 0.8851



3.
# LuPPbO PBE-GGA relaxed
# * space-group type: P4/nmm, No. 129
# * final energy: -0.403 Ry/atom
data_LuPPbO
_chemical_formula_sum 'Lu2 P2 Pb2 O2'
_space_group_name_H-M_alt 'P 1'
_space_group_IT_number 1
_space_group_name_Hall 'P 1'
_cell_length_a 4.5655
_cell_length_b 4.5655
_cell_length_c 8.4373
_cell_angle_alpha 90.00
_cell_angle_beta 90.00
_cell_angle_gamma 90.00
loop_
_atom_site_label
_atom_site_type_symbol
_atom_site_fract_x
_atom_site_fract_y
_atom_site_fract_z
Lu1 Lu 0.2500 0.7500 0.0000
Lu2 Lu 0.7500 0.2500 0.0000
P1 P 0.2500 0.2500 0.1597
P2 P 0.7500 0.7500 0.8403
Pb1 Pb 0.2500 0.2500 0.6085
Pb2 Pb 0.7500 0.7500 0.3915
O1 O 0.2500 0.7500 0.5000
O2 O 0.7500 0.2500 0.5000



4.
# LuPPbO PBE-GGA relaxed
# * space-group type: Pmc2_1, No. 26
# * final energy: -0.443 Ry/atom
data_LuPPbO
_chemical_formula_sum 'Lu2 P2 Pb2 O2'
_space_group_name_H-M_alt 'P 1'
_space_group_IT_number 1
_space_group_name_Hall 'P 1'
_cell_length_a 4.8050
_cell_length_b 6.7178
_cell_length_c 6.1702
_cell_angle_alpha 90.00
_cell_angle_beta 90.00
_cell_angle_gamma 90.00
loop_
_atom_site_label
_atom_site_type_symbol
_atom_site_fract_x
_atom_site_fract_y
_atom_site_fract_z
Lu1 Lu 0.0000 0.1468 0.0000
Lu2 Lu 0.0000 0.8532 0.5000
P1 P 0.5000 0.2975 0.9007
P2 P 0.5000 0.7025 0.4007
Pb1 Pb 0.5000 0.2862 0.4173
Pb2 Pb 0.5000 0.7138 0.9173
O1 O 0.0000 0.1210 0.3344
O2 O 0.0000 0.8790 0.8344